# 1
! BaCd3In (PBE, optimized geometry); values from VASP
! E_tot, eV per cell: -17.89
! Size of the total moment, μB per cell: 0.00
! ΔE_f, meV/atom: -308
&SYSTEM
  ibrav = 0, nat = 10, ntyp = 3
/
ATOMIC_SPECIES
Cd 112.41 Cd.upf
In 114.82 In.upf
Ba 137.33 Ba.upf
CELL_PARAMETERS angstrom
6.886 0.279 0.000
2.780 6.305 0.000
0.000 0.000 6.930
ATOMIC_POSITIONS angstrom
Cd 4.444 1.405 2.094
In 6.604 5.391 0.363
In 6.827 1.133 3.828
Cd 4.444 1.405 5.562
Ba 1.046 1.605 0.363
Cd 8.987 5.119 2.097
Cd 2.308 2.463 3.828
Cd 8.987 5.119 5.559
Ba 5.499 4.640 3.828
Cd 4.237 3.782 0.363



# 2
! Ce4Ge2I3 (PBE, optimized geometry); values from VASP
! E_tot, eV per cell: -46.58
! E_form (uncorrected), eV per atom: -0.9958
! Size of the total moment, μB per cell: 3.72
&SYSTEM
  ibrav = 0, nat = 9, ntyp = 3
/
ATOMIC_SPECIES
I 126.90 I.upf
Ge 72.64 Ge.upf
Ce 140.12 Ce.upf
CELL_PARAMETERS angstrom
3.074 0.573 3.031
-4.208 0.178 1.106
0.107 -18.212 3.332
ATOMIC_POSITIONS angstrom
I 0.000 0.000 0.000
Ge 0.732 -14.149 5.059
Ce 0.031 -5.222 0.956
Ge -1.760 -3.312 2.410
Ce 0.658 -1.631 2.768
I -1.717 -10.664 3.755
Ce 0.076 -12.989 2.377
I 0.689 -6.798 3.714
Ce -1.686 -15.830 4.701



# 3
! CuAg2Rh (PBE, optimized geometry); values from VASP
! E_tot, eV per cell: -16.28
! Size of the total moment, μB per cell: 0.27
! ΔE_f, meV/atom: 218
&SYSTEM
  ibrav = 0, nat = 4, ntyp = 3
/
ATOMIC_SPECIES
Rh 102.91 Rh.upf
Ag 107.87 Ag.upf
Cu 63.55 Cu.upf
CELL_PARAMETERS angstrom
-4.129 -1.009 3.378
0.997 -2.547 4.690
0.727 4.284 -3.255
ATOMIC_POSITIONS angstrom
Rh 0.028 -0.079 2.867
Ag -0.011 -0.013 0.028
Cu -1.547 -1.757 3.986
Ag -2.441 0.798 1.966



# 4
! Dy3HoCl (PBE, optimized geometry); values from VASP
! E_tot, eV per cell: -22.43
! E_form (uncorrected), eV per atom: -0.4399
! Size of the total moment, μB per cell: 0.00
&SYSTEM
  ibrav = 0, nat = 5, ntyp = 3
/
ATOMIC_SPECIES
Cl 35.45 Cl.upf
Dy 162.50 Dy.upf
Ho 164.93 Ho.upf
CELL_PARAMETERS angstrom
-4.501 -0.038 -2.734
-2.033 -3.474 3.396
-1.828 3.958 2.954
ATOMIC_POSITIONS angstrom
Cl 0.000 0.000 0.000
Dy -0.914 1.979 1.477
Ho -4.181 0.223 1.808
Dy -1.016 -1.737 1.698
Dy -2.251 -0.019 -1.367



# 5
! CePu2ScP4 (PBE, optimized geometry); values from VASP
! E_tot, eV per cell: -71.43
! Size of the total moment, μB per cell: 10.98
! ΔE_f, meV/atom: -1107
&SYSTEM
  ibrav = 0, nat = 8, ntyp = 4
/
ATOMIC_SPECIES
Pu 244.00 Pu.upf
P 30.97 P.upf
Ce 140.12 Ce.upf
Sc 44.96 Sc.upf
CELL_PARAMETERS angstrom
-2.400 -2.606 -1.769
6.060 -0.489 -7.501
-0.708 -3.342 5.884
ATOMIC_POSITIONS angstrom
Pu 2.676 -1.916 -0.808
P 0.937 -3.188 3.424
Pu -1.554 -2.974 2.057
P 0.065 -2.894 -0.256
Ce 0.000 0.000 0.000
P 4.414 -0.644 -5.041
P 2.887 -3.543 -3.129
Sc 1.830 -1.547 -4.635



# 6
! CsAu3C (PBE, optimized geometry); values from VASP
! E_tot, eV per cell: -16.45
! Size of the total moment, μB per cell: 0.00
! ΔE_f, meV/atom: 692
&SYSTEM
  ibrav = 0, nat = 5, ntyp = 3
/
ATOMIC_SPECIES
Au 196.97 Au.upf
C 12.01 C.upf
Cs 132.91 Cs.upf
CELL_PARAMETERS angstrom
-3.365 1.390 2.984
2.079 -2.410 3.468
2.552 3.797 1.109
ATOMIC_POSITIONS angstrom
Au 1.276 1.898 0.555
Au -1.683 0.695 1.492
C 0.000 0.000 0.000
Au 1.040 -1.205 1.734
Cs 0.633 1.388 3.780